Entry from Alexandria via LeMat-Bulk: a relaxed Pr2Er3Th crystal (PBE).

a b c (Å): 5.7670 6.3128 10.9026
angles (deg): 90.00 90.00 90.00
With the nearest neighbours (Å) after each atom.
Fractional coordinates of all 12 atoms:
Pr  0.0000  0.9425  0.2389  3 Th 3.49-3.65, 7 Er 3.58-3.79, 2 Pr 3.64
Pr  0.5000  0.1113  0.4179  8 Er 3.57-3.76, 4 Pr 3.63-3.64
Pr  0.0000  0.4425  0.7611  3 Th 3.49-3.65, 7 Er 3.58-3.79, 2 Pr 3.64
Pr  0.5000  0.6113  0.5821  8 Er 3.57-3.76, 4 Pr 3.63-3.64
Er  0.5000  0.1360  0.0737  4 Th 3.51-3.54, 5 Er 3.53-3.85, 3 Pr 3.61-3.76
Er  0.5000  0.1072  0.7507  5 Er 3.53-3.85, 2 Th 3.55, 5 Pr 3.58-3.67
Er  0.0000  0.4516  0.4131  4 Er 3.53-3.68, 7 Pr 3.57-3.79, 1 Th 3.62
Er  0.5000  0.6360  0.9263  4 Th 3.51-3.54, 5 Er 3.53-3.85, 3 Pr 3.61-3.76
Er  0.5000  0.6072  0.2493  5 Er 3.53-3.85, 2 Th 3.55, 5 Pr 3.58-3.67
Er  0.0000  0.9516  0.5869  4 Er 3.53-3.68, 7 Pr 3.57-3.79, 1 Th 3.62
Th  0.0000  0.9527  0.9185  3 Pr 3.49-3.65, 7 Er 3.51-3.62, 2 Th 3.62
Th  0.0000  0.4527  0.0815  3 Pr 3.49-3.65, 7 Er 3.51-3.62, 2 Th 3.62

Calculated values
- total moment (Bohr magnetons per cell) = 0.00
- mass density (g/cm3) = 8.5
- space-group type = No. 26
- formation energy (eV per atom) = 0.042